First-principles (PBE) data for a relaxed Li3P2Pt6 crystal, as listed in Alexandria via LeMat-Bulk.

Computed properties:
DFT total energy: -0.3957 Ry/atom
space group: Im-3m
total moment: 0.000 μB/atom

a = 7.8885 Å, b = 7.8885 Å, c = 7.8885 Å
α = 109.48°, β = 109.45°, γ = 109.48°
Closest atoms and distances in Å follow each position.
Positions (direct):
Li 0.6614 0.0000 0.6614  8 Pt 2.80-2.90, 1 Li 2.94
Li 0.3386 0.0000 0.3386  8 Pt 2.80-2.90, 1 Li 2.94
Li 0.0000 0.3385 0.3385  8 Pt 2.80-2.90, 1 Li 2.94
Li 0.0000 0.6615 0.6615  8 Pt 2.80-2.90, 1 Li 2.94
Li 0.3385 0.3385 0.0000  8 Pt 2.80-2.90, 1 Li 2.94
Li 0.6615 0.6615 0.0000  8 Pt 2.80-2.90, 1 Li 2.94
P 0.0000 0.5000 0.0000  6 Pt 2.39
P 0.5000 0.0000 0.0000  6 Pt 2.39
P 0.0000 0.0000 0.5000  6 Pt 2.39
P 0.5000 0.5000 0.5000  6 Pt 2.39
Pt 0.6945 0.3890 0.6945  2 P 2.39
Pt 0.6945 0.0000 0.3055  2 P 2.39
Pt 0.3055 0.0000 0.6945  2 P 2.39
Pt 0.3055 0.6110 0.3055  2 P 2.39
Pt 0.0000 0.6944 0.3056  2 P 2.39
Pt 0.6112 0.3056 0.3056  2 P 2.39
Pt 0.3888 0.6944 0.6944  2 P 2.39
Pt 0.0000 0.3056 0.6944  2 P 2.39
Pt 0.3056 0.6944 0.0000  2 P 2.39
Pt 0.6944 0.6944 0.3887  2 P 2.39
Pt 0.3056 0.3056 0.6113  2 P 2.39
Pt 0.6944 0.3056 0.0000  2 P 2.39

=====

First-principles (PBE) data for a relaxed LiPPt3 crystal, as listed in Alexandria via LeMat-Bulk.

Computed properties:
DFT total energy: -0.3865 Ry/atom
energy above the most stable polymorph in this dataset: 384 meV per atom
space group: Pm-3m
total moment: 0.000 μB/atom

a = 4.5116 Å, b = 4.5116 Å, c = 4.5116 Å
α = 90.00°, β = 90.00°, γ = 90.00°
Closest atoms and distances in Å follow each position.
Positions (direct):
P 0.0000 0.0000 0.0000  6 Pt 2.26
Pt 0.0000 0.5000 0.0000  2 P 2.26
Pt 0.0000 0.0000 0.5000  2 P 2.26
Pt 0.5000 0.0000 0.0000  2 P 2.26
Li 0.5000 0.5000 0.5000  12 Pt 3.19

=====

First-principles (PBE) data for a relaxed LiPPt crystal, as listed in Alexandria via LeMat-Bulk.

Computed properties:
DFT total energy: -0.3792 Ry/atom
space group: Pnma
total moment: 0.000 μB/atom

a = 3.9501 Å, b = 7.0310 Å, c = 6.4563 Å
α = 90.00°, β = 90.00°, γ = 90.00°
Closest atoms and distances in Å follow each position.
Positions (direct):
Li 0.2500 0.8269 0.4829  5 P 2.71-2.80, 6 Pt 2.85-2.96
Li 0.7500 0.3269 0.0171  5 P 2.71-2.80, 6 Pt 2.85-2.96
Li 0.2500 0.6731 0.9829  5 P 2.71-2.80, 6 Pt 2.85-2.96
Li 0.7500 0.1731 0.5171  5 P 2.71-2.80, 6 Pt 2.85-2.96
P 0.7500 0.6220 0.2863  4 Pt 2.34-2.45
P 0.7500 0.8780 0.7863  4 Pt 2.34-2.45
P 0.2500 0.1220 0.2137  4 Pt 2.34-2.45
P 0.2500 0.3780 0.7137  4 Pt 2.34-2.45
Pt 0.7500 0.9340 0.1611  4 P 2.34-2.45
Pt 0.7500 0.5660 0.6611  4 P 2.34-2.45
Pt 0.2500 0.0660 0.8389  4 P 2.34-2.45
Pt 0.2500 0.4340 0.3389  4 P 2.34-2.45

=====

First-principles (PBE) data for a relaxed LiPPt3 crystal, as listed in Alexandria via LeMat-Bulk.

Computed properties:
DFT total energy: -0.4101 Ry/atom
energy above the most stable polymorph in this dataset: 64 meV per atom
space group: Pmn2_1
total moment: 0.000 μB/atom

a = 5.4717 Å, b = 4.4653 Å, c = 6.6580 Å
α = 90.00°, β = 89.98°, γ = 90.00°
Closest atoms and distances in Å follow each position.
Positions (direct):
Li 0.4503 0.1131 0.2996  6 Pt 2.66-2.89, 1 P 2.88
Li 0.9503 0.2397 0.7996  6 Pt 2.66-2.89, 1 P 2.88
P 0.8276 0.5628 0.2991  6 Pt 2.25-2.45
P 0.3276 0.7899 0.7991  6 Pt 2.25-2.45
Pt 0.4637 0.2665 0.7991  2 P 2.25-2.45
Pt 0.6901 0.7706 0.0081  2 P 2.28-2.43
Pt 0.1901 0.5822 0.5082  2 P 2.28-2.43
Pt 0.9637 0.0862 0.2991  2 P 2.25-2.45
Pt 0.1902 0.5822 0.0902  2 P 2.28-2.42
Pt 0.6902 0.7706 0.5902  2 P 2.28-2.42

=====

First-principles (PBE) data for a relaxed LiP2Pt crystal, as listed in Alexandria via LeMat-Bulk.

Computed properties:
DFT total energy: -0.3587 Ry/atom
energy above the most stable polymorph in this dataset: 272 meV per atom
space group: P4/mmm
total moment: 0.000 μB/atom

a = 3.8937 Å, b = 3.8976 Å, c = 3.6691 Å
α = 90.00°, β = 90.00°, γ = 90.00°
Closest atoms and distances in Å follow each position.
Positions (direct):
Li 0.0000 0.5000 0.5000  8 P 2.68, 4 Pt 2.75
P 0.0000 0.0000 0.0000  4 Pt 2.68, 4 Li 2.68, 4 P 2.75
P 0.5000 0.5000 0.0000  4 Li 2.68, 4 Pt 2.68, 4 P 2.75
Pt 0.5000 0.0000 0.5000  8 P 2.68, 4 Li 2.75

=====

First-principles (PBE) data for a relaxed LiPPt2 crystal, as listed in Alexandria via LeMat-Bulk.

Computed properties:
DFT total energy: -0.3913 Ry/atom
space group: Cm
total moment: 0.000 μB/atom

a = 4.5597 Å, b = 4.5597 Å, c = 4.3638 Å
α = 75.52°, β = 75.52°, γ = 39.69°
Closest atoms and distances in Å follow each position.
Positions (direct):
Li 0.4930 0.4930 0.5478  5 Pt 2.39-2.61
P 0.2631 0.2631 0.2251  5 Pt 2.43-2.59, 1 Li 2.71
Pt 0.9930 0.9930 0.0668  3 P 2.46-2.59, 4 Li 2.61-2.74
Pt 0.7508 0.7508 0.6603  3 Li 2.39-2.53, 2 P 2.43

=====

Number 1: DFT formation energy -0.58 eV/atom. Number 2: DFT formation energy -0.17 eV/atom. Number 3: DFT formation energy -0.70 eV/atom. Number 4: DFT formation energy -0.49 eV/atom. Number 5: DFT formation energy -0.19 eV/atom. Number 6: DFT formation energy -0.47 eV/atom.